The following is a DFT calculation (GGA-PBE) of a relaxed structure of Ca6Sn2P.

Crystal system: hexagonal
Magnetic moment in μB per formula unit: 1.20
Formation energy in kJ/mol of formula units: -572

Lattice parameters (Å, degrees): 8.3302 8.3302 4.4800 90.00 90.00 120.00
Closest atoms and distances in Å follow each position.
Space group P-62m (No. 189)
Asymmetric unit:
Ca1 0.0000 0.4103 0.0000 [3 per cell]  4 Sn 3.37, 1 P 3.42, 6 Ca 3.63-3.73
Ca2 0.0000 0.7535 0.5000 [3 per cell]  2 P 3.04, 2 Sn 3.20
Sn1 0.3333 0.6667 0.5000 [2 per cell]  9 Ca 3.20-3.37
P1 0.0000 0.0000 0.0000 [1 per cell]  6 Ca 3.04

The following is a DFT calculation (GGA-PBE) of a relaxed structure of LaBeRe2.

Crystal system: monoclinic
Magnetic moment in μB per formula unit: 0.00
Formation energy in kJ/mol of formula units: 177

Lattice parameters (Å, degrees): 9.0329 3.0879 5.1581 90.00 101.11 90.00
Closest atoms and distances in Å follow each position.
Space group C2/m (No. 12)
Asymmetric unit:
La1 0.0000 0.0000 0.0000 [2 per cell]  2 Re 2.82, 4 Be 3.01, 2 La 3.09
Be1 0.0000 0.5000 0.5000 [2 per cell]  4 Re 2.51
Re1 0.2159 0.0000 0.6721 [4 per cell]  2 Be 2.51, 2 Re 2.52

The following is a DFT calculation (GGA-PBE) of a relaxed structure of ErAlHg2.

Crystal system: tetragonal
Magnetic moment in μB per formula unit: 0.00
Formation energy in kJ/mol of formula units: -105

Lattice parameters (Å, degrees): 4.4775 4.4775 4.4308 90.00 90.00 90.00
Closest atoms and distances in Å follow each position.
Space group P4/mmm (No. 123)
Asymmetric unit:
Er1 0.0000 0.0000 0.0000 [1 per cell]  8 Hg 3.15, 4 Al 3.17
Al1 0.5000 0.5000 0.0000 [1 per cell]  8 Hg 3.15, 4 Er 3.17
Hg1 0.0000 0.5000 0.5000 [2 per cell]  4 Er 3.15, 4 Al 3.15, 4 Hg 3.17

The following is a DFT calculation (GGA-PBE) of a relaxed structure of TbSmCoCu.

Crystal system: cubic
Magnetic moment in μB per formula unit: 0.36
Formation energy in kJ/mol of formula units: -50
Energy above the most stable polymorph in this dataset in eV per atom: 0.041

Lattice parameters (Å, degrees): 6.8951 6.8951 6.8951 90.00 90.00 90.00
Closest atoms and distances in Å follow each position.
Space group F-43m (No. 216)
Asymmetric unit:
Tb1 0.0000 0.0000 0.0000 [4 per cell]  4 Co 2.99, 4 Cu 2.99
Sm1 0.0000 0.0000 0.5000 [4 per cell]  4 Co 2.99, 4 Cu 2.99
Co1 0.2500 0.2500 0.7500 [4 per cell]  4 Tb 2.99, 4 Sm 2.99
Cu1 0.2500 0.2500 0.2500 [4 per cell]  4 Tb 2.99, 4 Sm 2.99

The following is a DFT calculation (GGA-PBE) of a relaxed structure of Ba3Ni.

Crystal system: orthorhombic
Magnetic moment in μB per formula unit: 0.00
Formation energy in kJ/mol of formula units: 50

Lattice parameters (Å, degrees): 5.6043 5.6867 11.0298 90.00 90.00 90.00
Closest atoms and distances in Å follow each position.
Space group Cmmm (No. 65)
Asymmetric unit:
Ba1 0.0000 0.0000 0.0000 [2 per cell]  4 Ba 3.99
Ba2 0.0000 0.5000 0.3360 [4 per cell]  4 Ni 3.34-3.37, 1 Ba 3.62
Ni1 0.0000 0.0000 0.5000 [2 per cell]  8 Ba 3.34-3.37

The following is a DFT calculation (GGA-PBE) of a relaxed structure of PmPr6Ho2.

Crystal system: tetragonal
Magnetic moment in μB per formula unit: 0.00
Formation energy in kJ/mol of formula units: 13
Energy above the most stable polymorph in this dataset in eV per atom: 0.000

Lattice parameters (Å, degrees): 10.9848 10.9848 5.2001 90.00 90.00 90.00
Closest atoms and distances in Å follow each position.
Space group P4_2/mnm (No. 136)
Asymmetric unit:
Pm1 0.0000 0.0000 0.0000 [2 per cell]  8 Pr 3.64-3.65, 4 Ho 3.67
Pr1 0.0010 0.3315 0.0000 [8 per cell]  1 Pm 3.64, 3 Ho 3.65-3.67, 8 Pr 3.65-3.70
Pr2 0.1653 0.1653 0.5000 [4 per cell]  4 Ho 3.65-3.68, 6 Pr 3.65-3.69, 2 Pm 3.65
Ho1 0.1669 0.8331 0.5000 [4 per cell]  10 Pr 3.65-3.68, 2 Pm 3.67